BaNaMoO4 | PBE with a Hubbard U | relaxed

Electronic total energy ... -5.91 eV/atom
N(E_F) ... 0.3546 states/eV per atom
Calculated density ... 2.8 g/cm³

Cell lengths 6.4252, 6.4252, 6.4252 Å; angles 60.00, 60.00, 60.00 degrees
Atoms (fractional coordinates):
Ba 0.0000 0.0000 0.0000
Na 0.7500 0.7500 0.7500
Mo 0.5000 0.5000 0.5000
O 0.1572 0.6143 0.6143
O 0.6143 0.1572 0.6143
O 0.6143 0.6143 0.1572
O 0.6143 0.6143 0.6143